## Li8PuSe6 (PBE-GGA)

Data for a relaxed Li8PuSe6 crystal.

magnetization	4.0	μB per formula unit
DOS at the Fermi energy	11.3	states/eV/f.u.
energy relative to the elements, uncorrected	-119.4	kJ per mole of atoms

Cell: 7.8845 7.8845 7.8845 Å, 54.41 54.41 54.41°
Sites, in units of the cell vectors:
1 Li 0.0286 0.7182 0.3855
2 Li 0.1636 0.1636 0.1636
3 Li 0.2818 0.6145 0.9714
4 Li 0.3855 0.0286 0.7182
5 Li 0.6145 0.9714 0.2818
6 Li 0.7182 0.3855 0.0286
7 Li 0.8364 0.8364 0.8364
8 Li 0.9714 0.2818 0.6145
9 Pu 0.5000 0.5000 0.5000
10 Se 0.0989 0.4142 0.7465
11 Se 0.2535 0.9011 0.5858
12 Se 0.4142 0.7465 0.0989
13 Se 0.5858 0.2535 0.9011
14 Se 0.7465 0.0989 0.4142
15 Se 0.9011 0.5858 0.2535